No. 1
MgSiO2 after structural relaxation. Source: Alexandria, functional PBE.

## Properties
- Symmetry: R-3m, No. 166
- Energy relative to the elements, uncorrected: -2028 meV/atom
- Theoretical density: 3.346 g cm⁻³
- Density of states at the Fermi level: 0.00 states/eV/f.u.
- Offset from the most stable computed form: 0.000 eV/atom
- VASP energy: -6.26 eV per atom

a = 5.851 Å, b = 5.851 Å, c = 5.851 Å
α = 29.09°, β = 29.09°, γ = 29.09°
Positions (direct):
O 0.100 0.100 0.100
O 0.900 0.900 0.900
Si 0.000 0.000 0.000
Mg 0.500 0.500 0.500



No. 2
MgSiO6 after structural relaxation. Source: Alexandria, functional PBE.

## Properties
- Symmetry: Pnnm, No. 58
- Energy relative to the elements, uncorrected: -925 meV/atom
- Theoretical density: 2.289 g cm⁻³
- Density of states at the Fermi level: 1.76 states/eV/f.u.
- VASP energy: -5.52 eV per atom

a = 5.053 Å, b = 5.624 Å, c = 9.434 Å
α = 53.43°, β = 90.00°, γ = 90.00°
Positions (direct):
O 0.230 0.255 0.518
O 0.270 0.255 0.018
O 0.270 0.710 0.018
O 0.967 0.727 0.272
O 0.230 0.710 0.518
O 0.730 0.745 0.982
O 0.533 0.727 0.772
O 0.467 0.273 0.228
O 0.033 0.273 0.728
O 0.730 0.290 0.982
O 0.770 0.745 0.482
O 0.770 0.290 0.482
Si 0.000 0.500 0.500
Si 0.500 0.500 0.000
Mg 0.500 0.000 0.500
Mg 0.000 0.000 0.000



No. 3
MgSiO after structural relaxation. Source: Alexandria, functional PBE.

## Properties
- Symmetry: Ama2, No. 40
- Energy relative to the elements, uncorrected: -1427 meV/atom
- Theoretical density: 2.600 g cm⁻³
- Density of states at the Fermi level: 0.21 states/eV/f.u.
- Offset from the most stable computed form: 0.000 eV/atom
- VASP energy: -5.42 eV per atom

a = 3.474 Å, b = 11.335 Å, c = 4.436 Å
α = 90.00°, β = 90.00°, γ = 90.00°
Positions (direct):
Mg 0.250 0.161 0.417
Mg 0.750 0.839 0.417
Mg 0.750 0.339 0.917
Mg 0.250 0.661 0.917
Si 0.250 0.934 0.888
Si 0.750 0.066 0.888
Si 0.750 0.566 0.388
Si 0.250 0.434 0.388
O 0.250 0.318 0.654
O 0.750 0.182 0.154
O 0.750 0.682 0.654
O 0.250 0.818 0.154